DFT (PBE-GGA) results for MgGa2Ni3 after structural relaxation.

Its symmetry is P6/mmm, No. 191. The formation energy comes out at -2.00 eV/f.u. For the total energy, the calculation gives -4.50 eV per atom. The spin magnetization comes out at 0.000 μB per formula unit. Its energy above the most stable polymorph in this dataset is 0.047 eV per atom. The value obtained for the density of states at the Fermi level is 3.18 states/eV/cell.

abc: 5.1363 5.1363 3.9043
angles: 90.00 90.00 120.00
Fractional coordinates of all 6 atoms:
Mg 0.0000 0.0000 0.0000
Ga 0.3333 0.6667 0.5000
Ga 0.6667 0.3333 0.5000
Ni 0.0000 0.5000 0.0000
Ni 0.5000 0.0000 0.0000
Ni 0.5000 0.5000 0.0000